# 1
Computed, not measured: an optimized crystal structure of PrMgOs at the PBE level of DFT.

a b c (Å): 6.1074 6.8947 7.6808
angles (deg): 90.00 90.00 116.29
Fractional positions:
Os  0.5978  0.1957  0.5292
Os  0.9022  0.8043  0.0292
Os  0.4022  0.8043  0.4708
Os  0.0978  0.1957  0.9708
Mg  0.2954  0.0907  0.2500
Mg  0.2046  0.9093  0.7500
Mg  0.7046  0.9093  0.7500
Mg  0.7954  0.0907  0.2500
Pr  0.8069  0.6139  0.3899
Pr  0.6931  0.3861  0.8899
Pr  0.1931  0.3861  0.6101
Pr  0.3069  0.6139  0.1101

ΔE_f, kcal/mol of atoms: 1.39


# 2
Computed, not measured: an optimized crystal structure of Sc5OsCl9 at the PBE level of DFT.

a b c (Å): 11.7875 11.7875 22.6074
angles (deg): 105.11 105.11 90.00
Fractional positions:
Sc  0.4772  0.3635  0.3114
Sc  0.8342  0.4480  0.3114
Sc  0.8635  0.3342  0.8114
Sc  0.9480  0.9772  0.8114
Sc  0.5228  0.6365  0.6886
Sc  0.1658  0.5520  0.6886
Sc  0.1365  0.6658  0.1886
Sc  0.0520  0.0228  0.1886
Sc  0.1035  0.5923  0.3247
Sc  0.2212  0.2324  0.3247
Sc  0.0923  0.7212  0.8247
Sc  0.7324  0.6035  0.8247
Sc  0.8965  0.4077  0.6753
Sc  0.7788  0.7676  0.6753
Sc  0.9077  0.2788  0.1753
Sc  0.2676  0.3965  0.1753
Sc  0.3930  0.6321  0.3095
Sc  0.9165  0.1774  0.3095
Sc  0.1321  0.4165  0.8095
Sc  0.6774  0.8930  0.8095
Sc  0.6070  0.3679  0.6905
Sc  0.0835  0.8226  0.6905
Sc  0.8679  0.5835  0.1905
Sc  0.3226  0.1070  0.1905
Sc  0.3546  0.5085  0.4219
Sc  0.0673  0.4133  0.4219
Sc  0.0085  0.5673  0.9219
Sc  0.9133  0.8546  0.9219
Sc  0.6454  0.4915  0.5781
Sc  0.9327  0.5867  0.5781
Sc  0.9915  0.4327  0.0781
Sc  0.0867  0.1454  0.0781
Sc  0.5671  0.9169  0.4349
Sc  0.8678  0.0180  0.4349
Sc  0.4169  0.3678  0.9349
Sc  0.5180  0.0671  0.9349
Sc  0.4329  0.0831  0.5651
Sc  0.1322  0.9820  0.5651
Sc  0.5831  0.6322  0.0651
Sc  0.4820  0.9329  0.0651
Os  0.2696  0.4401  0.3001
Os  0.0305  0.3600  0.3001
Os  0.9401  0.5305  0.8001
Os  0.8600  0.7696  0.8001
Os  0.7304  0.5599  0.6999
Os  0.9695  0.6400  0.6999
Os  0.0599  0.4695  0.1999
Os  0.1400  0.2304  0.1999
Cl  0.4579  0.2833  0.1898
Cl  0.7320  0.4066  0.1898
Cl  0.7833  0.2320  0.6898
Cl  0.9066  0.9579  0.6898
Cl  0.5421  0.7167  0.8102
Cl  0.2680  0.5934  0.8102
Cl  0.2167  0.7680  0.3102
Cl  0.0934  0.0421  0.3102
Cl  0.1784  0.6201  0.4489
Cl  0.2705  0.3288  0.4489
Cl  0.1201  0.7705  0.9489
Cl  0.8288  0.6784  0.9489
Cl  0.8216  0.3799  0.5511
Cl  0.7295  0.6712  0.5511
Cl  0.8799  0.2295  0.0511
Cl  0.1712  0.3216  0.0511
Cl  0.5509  0.4166  0.4355
Cl  0.8846  0.5190  0.4355
Cl  0.9166  0.3846  0.9355
Cl  0.0190  0.0509  0.9355
Cl  0.4491  0.5834  0.5645
Cl  0.1154  0.4810  0.5645
Cl  0.0834  0.6154  0.0645
Cl  0.9810  0.9491  0.0645
Cl  0.4235  0.1492  0.3116
Cl  0.8881  0.6624  0.3116
Cl  0.6492  0.3881  0.8116
Cl  0.1624  0.9235  0.8116
Cl  0.5765  0.8508  0.6884
Cl  0.1119  0.3376  0.6884
Cl  0.3508  0.6119  0.1884
Cl  0.8376  0.0765  0.1884
Cl  0.5059  0.8420  0.3212
Cl  0.8153  0.9792  0.3212
Cl  0.3420  0.3153  0.8212
Cl  0.4792  0.0059  0.8212
Cl  0.4941  0.1580  0.6788
Cl  0.1847  0.0208  0.6788
Cl  0.6580  0.6847  0.1788
Cl  0.5208  0.9941  0.1788
Cl  0.4631  0.7163  0.4330
Cl  0.9699  0.2168  0.4330
Cl  0.2163  0.4699  0.9330
Cl  0.7168  0.9631  0.9330
Cl  0.5369  0.2837  0.5670
Cl  0.0301  0.7832  0.5670
Cl  0.7837  0.5301  0.0670
Cl  0.2832  0.0369  0.0670
Cl  0.5963  0.5441  0.3135
Cl  0.7172  0.2694  0.3135
Cl  0.0441  0.2172  0.8135
Cl  0.7694  0.0963  0.8135
Cl  0.4037  0.4559  0.6865
Cl  0.2828  0.7306  0.6865
Cl  0.9559  0.7828  0.1865
Cl  0.2306  0.9037  0.1865
Cl  0.3893  0.0289  0.4441
Cl  0.0548  0.9152  0.4441
Cl  0.5289  0.5548  0.9441
Cl  0.4152  0.8893  0.9441
Cl  0.6107  0.9711  0.5559
Cl  0.9452  0.0848  0.5559
Cl  0.4711  0.4452  0.0559
Cl  0.5848  0.1107  0.0559
Cl  0.7653  0.8371  0.4410
Cl  0.6757  0.1039  0.4410
Cl  0.3371  0.1757  0.9410
Cl  0.6039  0.2653  0.9410
Cl  0.2347  0.1629  0.5590
Cl  0.3243  0.8961  0.5590
Cl  0.6629  0.8243  0.0590
Cl  0.3961  0.7347  0.0590

E_form (uncorrected), eV per formula unit: -27.1


# 3
Computed, not measured: an optimized crystal structure of LiUMn4S8 at the PBE level of DFT.

a b c (Å): 7.3354 7.3354 7.4325
angles (deg): 60.43 60.43 60.00
Fractional positions:
Li  0.3682  0.3682  0.8953
U  0.0014  0.0014  0.9959
Mn  0.6327  0.6327  0.1018
Mn  0.0045  0.4880  0.5030
Mn  0.4880  0.0045  0.5030
Mn  0.0045  0.0045  0.5030
S  0.2504  0.7696  0.7296
S  0.7696  0.2504  0.7296
S  0.2504  0.2504  0.7296
S  0.2374  0.2374  0.2877
S  0.7469  0.2356  0.2706
S  0.2356  0.7469  0.2706
S  0.7469  0.7469  0.2706
S  0.7635  0.7635  0.7095

E_form (uncorrected), eV per formula unit: -11.3


# 4
Computed, not measured: an optimized crystal structure of Cs2ZrRhS4 at the PBE level of DFT.

a b c (Å): 6.0866 7.4736 13.4106
angles (deg): 84.70 76.88 65.97
Fractional positions:
Cs  0.1755  0.0000  0.6489
Cs  0.8245  0.0000  0.3511
Cs  0.5745  0.5000  0.8511
Cs  0.9255  0.5000  0.1489
Zr  0.7500  0.5000  0.5000
Zr  0.0000  0.0000  0.0000
Rh  0.2500  0.5000  0.5000
Rh  0.5000  0.0000  0.0000
S  0.2936  0.8255  0.1068
S  0.2259  0.1745  0.8932
S  0.8809  0.8255  0.8932
S  0.5996  0.1745  0.1068
S  0.4564  0.6745  0.3932
S  0.5241  0.3255  0.6068
S  0.8691  0.6745  0.6068
S  0.1504  0.3255  0.3932

E_form (uncorrected), eV per formula unit: -8.4


# 5
Computed, not measured: an optimized crystal structure of RbSr3Zn at the PBE level of DFT.

a b c (Å): 6.4171 6.4171 6.4171
angles (deg): 90.00 90.00 90.00
Fractional positions:
Sr  0.0000  0.5000  0.0000
Sr  0.0000  0.0000  0.5000
Sr  0.5000  0.0000  0.0000
Zn  0.0000  0.0000  0.0000
Rb  0.5000  0.5000  0.5000

ΔE_f, kcal/mol of atoms: 0.41
Excess energy over the best structure of this formula in the dataset, meV per atom: 0


# 6
Computed, not measured: an optimized crystal structure of Ac12Pd2Pb5 at the PBE level of DFT.

a b c (Å): 8.2704 10.4155 10.5531
angles (deg): 104.07 90.00 113.39
Fractional positions:
Ac  0.9962  0.9924  0.1736
Ac  0.0973  0.6841  0.9187
Ac  0.5868  0.6841  0.9187
Ac  0.0938  0.7017  0.4243
Ac  0.6079  0.7017  0.4243
Ac  0.4971  0.9942  0.7388
Ac  0.5029  0.0058  0.2612
Ac  0.9062  0.2983  0.5757
Ac  0.3921  0.2983  0.5757
Ac  0.9027  0.3159  0.0813
Ac  0.4132  0.3159  0.0813
Ac  0.0038  0.0076  0.8264
Pd  0.6778  0.0000  0.0000
Pd  0.3222  0.0000  0.0000
Pb  0.3031  0.6063  0.6394
Pb  0.3103  0.6206  0.1656
Pb  0.0000  0.0000  0.5000
Pb  0.6897  0.3794  0.8344
Pb  0.6969  0.3937  0.3606

ΔE_f, kcal/mol of atoms: -8.07